Below is a relaxed structure of DyPaCdGa, with properties calculated at the GGA-PBE level.

Output
Calculated formation energy in eV/atom: -0.086
Crystal system: cubic

a b c (Å): 7.3102 7.3102 7.3102
angles (deg): 90.00 90.00 90.00
Space group F-43m (No. 216)
Unique sites:
Dy (0.0000, 0.0000, 0.0000) x4
Pa (0.0000, 0.0000, 0.5000) x4
Cd (0.2500, 0.2500, 0.7500) x4
Ga (0.2500, 0.2500, 0.2500) x4


Below is a relaxed structure of AlW2C, with properties calculated at the GGA-PBE level.

Output
Calculated formation energy in eV/atom: 0.024
Distance to the lowest polymorph of the same formula in meV per atom: 0
Crystal system: hexagonal

a b c (Å): 3.0072 3.0072 13.7409
angles (deg): 90.00 90.00 120.00
Space group P6_3/mmc (No. 194)
Unique sites:
Al (0.3333, 0.6667, 0.2500) x2
W (0.3333, 0.6667, 0.5903) x4
C (0.0000, 0.0000, 0.0000) x2